Entry 1:
NaLa2Pb | GGA-PBE | optimized geometry

Unit cell a=7.2742 b=7.2742 c=7.2742 alpha=102.11 beta=102.11 gamma=125.49
Closest atoms and distances in Å follow each position.
Sites, in units of the cell vectors:
Na1 0.0000 0.0000 0.0000  2 Pb 3.33, 4 La 3.42
Na2 0.7500 0.2500 0.5000  2 Pb 3.33, 4 La 3.42
La1 0.1384 0.6250 0.0134  2 Pb 3.26, 2 La 3.34, 2 Na 3.42
La2 0.3750 0.3884 0.5134  2 Pb 3.26, 2 La 3.34, 2 Na 3.42
La3 0.6116 0.1250 0.9866  2 Pb 3.26, 2 La 3.34, 2 Na 3.42
La4 0.8750 0.8616 0.4866  2 Pb 3.26, 2 La 3.34, 2 Na 3.42
Pb1 0.2500 0.7500 0.5000  4 La 3.26, 2 Na 3.33
Pb2 0.5000 0.5000 0.0000  4 La 3.26, 2 Na 3.33

Entry 2:
Na4LaPb15 | GGA-PBE | optimized geometry

Unit cell a=4.9401 b=4.9401 c=24.6344 alpha=90.00 beta=90.00 gamma=90.00
Closest atoms and distances in Å follow each position.
Sites, in units of the cell vectors:
Na1 0.0000 0.0000 0.0999  12 Pb 3.47-3.49
Na2 0.0000 0.0000 0.3003  12 Pb 3.43-3.51
Na3 0.0000 0.0000 0.6997  12 Pb 3.43-3.51
Na4 0.0000 0.0000 0.9001  12 Pb 3.47-3.49
La1 0.0000 0.0000 0.5000  12 Pb 3.49-3.54
Pb1 0.0000 0.5000 0.0000  4 Na 3.49, 8 Pb 3.49
Pb2 0.0000 0.5000 0.1991  8 Pb 3.47-3.49, 4 Na 3.47-3.51
Pb3 0.0000 0.5000 0.3970  2 Na 3.43, 8 Pb 3.46-3.54, 2 La 3.54
Pb4 0.0000 0.5000 0.6030  2 Na 3.43, 8 Pb 3.46-3.54, 2 La 3.54
Pb5 0.0000 0.5000 0.8009  8 Pb 3.47-3.49, 4 Na 3.47-3.51
Pb6 0.5000 0.0000 0.0000  4 Na 3.49, 8 Pb 3.49
Pb7 0.5000 0.0000 0.1991  8 Pb 3.47-3.49, 4 Na 3.47-3.51
Pb8 0.5000 0.0000 0.3970  2 Na 3.43, 8 Pb 3.46-3.54, 2 La 3.54
Pb9 0.5000 0.0000 0.6030  2 Na 3.43, 8 Pb 3.46-3.54, 2 La 3.54
Pb10 0.5000 0.0000 0.8009  8 Pb 3.47-3.49, 4 Na 3.47-3.51
Pb11 0.5000 0.5000 0.1001  8 Pb 3.47-3.49, 4 Na 3.49
Pb12 0.5000 0.5000 0.2986  8 Pb 3.46-3.48, 4 Na 3.49
Pb13 0.5000 0.5000 0.5000  4 La 3.49, 8 Pb 3.54
Pb14 0.5000 0.5000 0.7014  8 Pb 3.46-3.48, 4 Na 3.49
Pb15 0.5000 0.5000 0.8999  8 Pb 3.47-3.49, 4 Na 3.49

Entry 3:
NaLaPb6 | GGA-PBE | optimized geometry

Unit cell a=4.9161 b=4.9161 c=9.9942 alpha=90.00 beta=90.00 gamma=90.00
Closest atoms and distances in Å follow each position.
Sites, in units of the cell vectors:
Na1 0.0000 0.0000 0.0000  12 Pb 3.46-3.48
La1 0.0000 0.0000 0.5000  12 Pb 3.48-3.55
Pb1 0.0000 0.5000 0.2432  8 Pb 3.46-3.55, 2 Na 3.46, 2 La 3.55
Pb2 0.0000 0.5000 0.7568  8 Pb 3.46-3.55, 2 Na 3.46, 2 La 3.55
Pb3 0.5000 0.0000 0.2432  8 Pb 3.46-3.55, 2 Na 3.46, 2 La 3.55
Pb4 0.5000 0.0000 0.7568  8 Pb 3.46-3.55, 2 Na 3.46, 2 La 3.55
Pb5 0.5000 0.5000 0.0000  8 Pb 3.46, 4 Na 3.48
Pb6 0.5000 0.5000 0.5000  4 La 3.48, 8 Pb 3.55

Taking the records one at a time from the top gives formation energy values of -2, -170, -267 meV per atom.